Here is a relaxed YBeCoSi crystal from the Open Quantum Materials Database. Energies are from PBE-GGA.

The calculation puts the electronic total energy at -92.2 eV per cell. The relative energy among the computed polymorphs comes out at 74.5 meV per atom.

The space group is F-43m (No. 216) and the conventional cell measures 6.133, 6.133 and 6.133 Å, with angles of 90.00, 90.00 and 90.00 degrees. The inequivalent atoms are Y at (0.000, 0.000, 0.000), Be at (0.250, 0.250, 0.750), Co at (0.000, 0.000, 0.500) and Si at (0.250, 0.250, 0.250).

***

Here is a relaxed YBeCoSi crystal from the Open Quantum Materials Database. Energies are from PBE-GGA.

The calculation puts the electronic total energy at -93.3 eV per cell. The relative energy among the computed polymorphs comes out at 0.0 meV per atom.

The space group is F-43m (No. 216) and the conventional cell measures 6.087, 6.087 and 6.087 Å, with angles of 90.00, 90.00 and 90.00 degrees. The inequivalent atoms are Y at (0.000, 0.000, 0.000), Be at (0.250, 0.250, 0.250), Co at (0.250, 0.250, 0.750) and Si at (0.000, 0.000, 0.500).

***

Here is a relaxed SmBeCo crystal from the Open Quantum Materials Database. Energies are from PBE-GGA.

The calculation puts the electronic total energy at -57.5 eV per cell. The relative energy among the computed polymorphs comes out at 76.7 meV per atom.

The space group is F-43m (No. 216) and the conventional cell measures 5.983, 5.983 and 5.983 Å, with angles of 90.00, 90.00 and 90.00 degrees. The inequivalent atoms are Sm at (0.000, 0.000, 0.000), Be at (0.250, 0.250, 0.750) and Co at (0.000, 0.000, 0.500).